No. 1
Below is a relaxed structure of Gd2TmNi2B2N3, with properties calculated at the PBE level.

Output
* total moment: 0.0 Bohr magnetons per cell
* VASP energy: -0.2772 hartree per atom
* space-group type: I4/mmm, No. 139

Unit cell a=10.275 b=10.275 c=10.275 alpha=160.47 beta=160.47 gamma=27.75
Positions (direct):
Gd 0.123 0.123 0.000
Gd 0.877 0.877 0.000
Tm 0.500 0.500 0.000
Ni 0.250 0.750 0.500
Ni 0.750 0.250 0.500
B 0.311 0.311 0.000
B 0.689 0.689 0.000
N 0.000 0.000 0.000
N 0.384 0.384 0.000
N 0.616 0.616 0.000

=====

No. 2
Below is a relaxed structure of GdTmNi2B2N2, with properties calculated at the PBE level.

Output
* total moment: 0.0 Bohr magnetons per cell
* VASP energy: -0.2713 hartree per atom
* space-group type: P4mm, No. 99

Unit cell a=3.488 b=3.488 c=7.499 alpha=90.00 beta=90.00 gamma=90.00
Positions (direct):
Gd 0.000 0.000 0.000
Tm 0.500 0.500 0.665
Ni 0.000 0.500 0.333
Ni 0.500 0.000 0.333
B 0.000 0.000 0.491
B 0.500 0.500 0.169
N 0.000 0.000 0.686
N 0.500 0.500 0.974

=====

No. 3
Below is a relaxed structure of GdY2Ni2B2N3, with properties calculated at the PBE level.

Output
* total moment: 0.0 Bohr magnetons per cell
* VASP energy: -0.2904 hartree per atom
* space-group type: I4/mmm, No. 139

Unit cell a=10.369 b=10.369 c=10.369 alpha=160.64 beta=160.64 gamma=27.51
Positions (direct):
Gd 0.000 0.000 0.000
Y 0.377 0.377 0.000
Y 0.623 0.623 0.000
Ni 0.250 0.750 0.500
Ni 0.750 0.250 0.500
B 0.190 0.190 0.000
B 0.810 0.810 0.000
N 0.117 0.117 0.000
N 0.500 0.500 0.000
N 0.883 0.883 0.000

=====

No. 4
Below is a relaxed structure of GdYNi2B2N2, with properties calculated at the PBE level.

Output
* total moment: 0.0 Bohr magnetons per cell
* VASP energy: -0.2798 hartree per atom
* space-group type: P4mm, No. 99

Unit cell a=3.517 b=3.517 c=7.521 alpha=90.00 beta=90.00 gamma=90.00
Positions (direct):
Gd 0.000 0.000 0.000
Y 0.500 0.500 0.663
Ni 0.000 0.500 0.331
Ni 0.500 0.000 0.331
B 0.000 0.000 0.490
B 0.500 0.500 0.172
N 0.000 0.000 0.684
N 0.500 0.500 0.978